## Ho2MnGa5 (PBE-GGA)

Data for a geometry-optimized Ho2MnGa5 structure.

extended XYZ file:
```
8
Lattice="5.941 0.130 0.185 -2.812 5.235 -0.185 -2.812 -1.955 4.860" Properties=species:S:1:pos:R:3 pbc="T T T"
Ho 0.087 -0.050 3.751
Ho 0.087 3.545 1.229
Mn -5.093 2.970 4.233
Ga -1.527 2.450 3.492
Ga -2.884 3.242 1.303
Ga -2.884 0.123 3.492
Ga 1.700 1.044 1.488
Ga -1.349 0.787 1.121
```

- energy relative to the elements (eV per atom) = -0.38
- electronic total energy (Ha/atom) = -0.168



## YPaIr2 (PBE-GGA)

Data for a geometry-optimized YPaIr2 structure.

extended XYZ file:
```
4
Lattice="3.477 0.000 0.000 0.000 3.477 0.000 0.000 0.000 6.980" Properties=species:S:1:pos:R:3 pbc="T T T"
Y 1.739 1.739 0.000
Pa 1.739 1.739 3.490
Ir 0.000 0.000 5.040
Ir 0.000 0.000 1.940
```

- energy relative to the elements (eV per atom) = -0.77
- electronic total energy (Ha/atom) = -0.338
- E above lowest polymorph (eV per atom) = 0.142



## RbBePbF5 (PBE-GGA)

Data for a geometry-optimized RbBePbF5 structure.

extended XYZ file:
```
16
Lattice="-1.317 -3.950 4.752 -0.150 -3.348 -5.356 8.379 1.625 1.064" Properties=species:S:1:pos:R:3 pbc="T T T"
Rb 1.536 -3.153 -1.544
Rb 5.377 -2.520 2.004
Be 1.138 -3.358 1.897
Be 5.774 -2.315 -1.437
Pb 4.190 0.813 0.532
Pb 0.000 0.000 0.000
F 1.837 -2.997 -4.152
F 5.076 -2.675 4.612
F 0.082 -4.274 2.652
F 6.831 -1.399 -2.192
F 1.983 -2.551 2.974
F 4.930 -3.122 -2.514
F 2.123 -4.227 1.004
F 4.790 -1.446 -0.544
F 0.371 -2.377 0.912
F 6.542 -3.296 -0.452
```

- uncorrected formation energy (meV per atom) = -2812
- electronic total energy (Ha/atom) = -0.185